Entry 1:
The following is a DFT calculation (PBE) of a geometry-optimized Hg4S2I3 structure.

Cell: 4.0409 7.7264 12.0318 Å, 118.47 90.00 105.16°
Last column: nearest neighbours and their distance in Å.
Element x y z (fractional)
Hg 0.3284 0.6568 0.9483  3 S 2.75-2.78, 2 I 3.07
Hg 0.0471 0.0942 0.7124  2 S 2.71, 2 I 2.92
Hg 0.9529 0.9058 0.2876  2 S 2.71, 2 I 2.92
Hg 0.6716 0.3432 0.0517  3 S 2.75-2.78, 2 I 3.07
I 0.0000 0.0000 0.0000  4 Hg 3.07
I 0.3877 0.7755 0.5795  2 Hg 2.92
I 0.6123 0.2245 0.4205  2 Hg 2.92
S 0.6830 0.3660 0.8308  5 Hg 2.71-2.78
S 0.3170 0.6340 0.1692  5 Hg 2.71-2.78

## Properties
- Polymorph energy (0 for the lowest one): 62.7 meV per atom
- ΔE_f (raw): -0.04 eV/atom
- SG: No. 12

Entry 2:
The following is a DFT calculation (PBE) of a geometry-optimized RbSrCa structure.

Cell: 4.2424 4.2424 11.0276 Å, 90.00 90.00 120.00°
Last column: nearest neighbours and their distance in Å.
Element x y z (fractional)
Ca 0.6667 0.3333 0.3495  3 Sr 4.07, 6 Ca 4.24, 3 Rb 4.51
Sr 0.3333 0.6667 0.6439  3 Ca 4.07, 6 Sr 4.24
Rb 0.0000 0.0000 0.0066  6 Rb 4.24, 3 Ca 4.51, 3 Sr 4.69

## Properties
- Formation enthalpy at 0 K: 0.128 eV/atom
- SG: No. 156